# 1
Entry from the Alexandria database: crystalline CeHo4S5 at its relaxed geometry (PBE-GGA).

a = 3.897 Å, b = 5.536 Å, c = 19.613 Å
α = 90.00°, β = 90.00°, γ = 90.00°
Space group Immm (No. 71)
Symmetry-distinct sites (fractional):
Ce: 0.000 0.000 0.000 x2
Ho: 0.000 0.000 0.200 x4
Ho: 0.000 0.000 0.402 x4
S: 0.000 0.500 0.000 x2
S: 0.000 0.500 0.200 x4
S: 0.000 0.500 0.396 x4

**Raw total energy**: -129.567 eV/cell
**E_form (uncorrected)**: -192.0 kJ/mol of atoms

# 2
Entry from the Alexandria database: crystalline CeDyScOs at its relaxed geometry (PBE-GGA).

a = 7.117 Å, b = 7.117 Å, c = 7.117 Å
α = 90.00°, β = 90.00°, γ = 90.00°
Space group F-43m (No. 216)
Symmetry-distinct sites (fractional):
Ce: 0.000 0.000 0.000 x4
Dy: 0.000 0.000 0.500 x4
Sc: 0.250 0.250 0.750 x4
Os: 0.250 0.250 0.250 x4

**Raw total energy**: -111.939 eV/cell
**Calculated formation energy**: 28 meV per atom

# 3
Entry from the Alexandria database: crystalline MnAlOs3 at its relaxed geometry (PBE-GGA).

a = 4.409 Å, b = 4.409 Å, c = 4.409 Å
α = 90.00°, β = 90.00°, γ = 90.00°
Space group Pm-3m (No. 221)
Symmetry-distinct sites (fractional):
Mn: 0.000 0.000 0.000 x1
Al: 0.500 0.500 0.500 x1
Os: 0.000 0.000 0.500 x3

**Raw total energy**: -39.019 eV/cell
**Calculated formation energy**: 1516 meV per atom
**ΔE to the lowest computed polymorph**: 0 kJ/mol of formula units

# 4
Entry from the Alexandria database: crystalline Pm3Ir2Au at its relaxed geometry (PBE-GGA).

a = 3.552 Å, b = 3.552 Å, c = 10.982 Å
α = 90.00°, β = 90.00°, γ = 90.00°
Space group P4/mmm (No. 123)
Symmetry-distinct sites (fractional):
Pm: 0.000 0.000 0.000 x1
Pm: 0.000 0.000 0.314 x2
Ir: 0.500 0.500 0.163 x2
Au: 0.500 0.500 0.500 x1

**Raw total energy**: -39.354 eV/cell
**Calculated formation energy**: -684 meV per atom

# 5
Entry from the Alexandria database: crystalline ZrIn3Mo at its relaxed geometry (PBE-GGA).

a = 5.144 Å, b = 5.144 Å, c = 5.144 Å
α = 90.00°, β = 90.00°, γ = 90.00°
Space group Pm-3m (No. 221)
Symmetry-distinct sites (fractional):
Zr: 0.000 0.000 0.000 x1
In: 0.000 0.500 0.500 x3
Mo: 0.500 0.500 0.500 x1

**Raw total energy**: -23.393 eV/cell
**Calculated formation energy**: 840 meV per atom
**ΔE to the lowest computed polymorph**: 0 kJ/mol of formula units

# 6
Entry from the Alexandria database: crystalline RbNaAlSb2 at its relaxed geometry (PBE-GGA).

a = 5.486 Å, b = 5.486 Å, c = 5.729 Å
α = 90.00°, β = 90.00°, γ = 90.00°
Space group P4/mmm (No. 123)
Symmetry-distinct sites (fractional):
Rb: 0.000 0.000 0.000 x1
Na: 0.500 0.500 0.000 x1
Al: 0.500 0.500 0.500 x1
Sb: 0.000 0.500 0.500 x2

**Raw total energy**: -14.310 eV/cell
**E_form (uncorrected)**: -0.7 kJ/mol of atoms

# 7
Entry from the Alexandria database: crystalline MgTiHg2 at its relaxed geometry (PBE-GGA).

a = 5.549 Å, b = 3.214 Å, c = 9.485 Å
α = 90.00°, β = 101.19°, γ = 90.00°
Space group Cm (No. 8)
Symmetry-distinct sites (fractional):
Mg: 0.000 0.000 0.000 x2
Ti: 0.166 0.000 0.500 x2
Hg: 0.081 0.500 0.744 x2
Hg: 0.418 0.000 0.255 x2

**Raw total energy**: -20.037 eV/cell
**Calculated formation energy**: 19 meV per atom

# 8
Entry from the Alexandria database: crystalline LaNb2TcW at its relaxed geometry (PBE-GGA).

a = 4.897 Å, b = 4.897 Å, c = 4.888 Å
α = 90.00°, β = 90.00°, γ = 90.00°
Space group P4/mmm (No. 123)
Symmetry-distinct sites (fractional):
La: 0.000 0.000 0.000 x1
Nb: 0.000 0.500 0.500 x2
Tc: 0.500 0.500 0.500 x1
W: 0.500 0.500 0.000 x1

**Raw total energy**: -44.028 eV/cell
**Calculated formation energy**: 872 meV per atom

# 9
Entry from the Alexandria database: crystalline CeAg5S4 at its relaxed geometry (PBE-GGA).

a = 16.190 Å, b = 3.991 Å, c = 6.577 Å
α = 90.00°, β = 100.60°, γ = 90.00°
Space group C2/m (No. 12)
Symmetry-distinct sites (fractional):
Ce: 0.000 0.000 0.000 x2
Ag: 0.000 0.000 0.500 x2
Ag: 0.193 0.500 0.085 x4
Ag: 0.199 0.500 0.639 x4
S: 0.062 0.500 0.771 x4
S: 0.143 0.000 0.312 x4

**Raw total energy**: -83.091 eV/cell
**E_form (uncorrected)**: -46.8 kJ/mol of atoms

# 10
Entry from the Alexandria database: crystalline NaMg6In5 at its relaxed geometry (PBE-GGA).

a = 4.609 Å, b = 8.874 Å, c = 14.000 Å
α = 90.00°, β = 90.00°, γ = 90.00°
Space group Immm (No. 71)
Symmetry-distinct sites (fractional):
Na: 0.000 0.000 0.000 x2
Mg: 0.000 0.233 0.500 x4
Mg: 0.000 0.260 0.170 x8
In: 0.000 0.000 0.322 x4
In: 0.000 0.500 0.000 x2
In: 0.000 0.500 0.343 x4

**Raw total energy**: -50.798 eV/cell
**Calculated formation energy**: -68 meV per atom

# 11
Entry from the Alexandria database: crystalline Sc2CrC2 at its relaxed geometry (PBE-GGA).

a = 10.264 Å, b = 4.703 Å, c = 6.242 Å
α = 90.00°, β = 116.65°, γ = 90.00°
Space group C2/m (No. 12)
Symmetry-distinct sites (fractional):
Sc: 0.027 0.000 0.265 x4
Sc: 0.178 0.500 0.111 x4
Cr: 0.140 0.500 0.623 x4
C: 0.006 0.500 0.277 x4
C: 0.181 0.000 0.106 x4

**Raw total energy**: -170.362 eV/cell
**Calculated formation energy**: -371 meV per atom
**ΔE to the lowest computed polymorph**: 0 kJ/mol of formula units

# 12
Entry from the Alexandria database: crystalline Mg2TlSeO6 at its relaxed geometry (PBE-GGA).

a = 9.401 Å, b = 10.062 Å, c = 6.524 Å
α = 90.00°, β = 114.29°, γ = 90.00°
Space group C2/c (No. 15)
Symmetry-distinct sites (fractional):
Mg: 0.131 0.084 0.152 x8
Tl: 0.000 0.381 0.250 x4
Se: 0.000 0.297 0.750 x4
O: 0.109 0.063 0.435 x8
O: 0.122 0.415 0.705 x8
O: 0.124 0.286 0.082 x8

**Raw total energy**: -205.654 eV/cell
**E_form (uncorrected)**: -121.8 kJ/mol of atoms

Copy entry 3 word for word.
Entry from the Alexandria database: crystalline MnAlOs3 at its relaxed geometry (PBE-GGA).

a = 4.409 Å, b = 4.409 Å, c = 4.409 Å
α = 90.00°, β = 90.00°, γ = 90.00°
Space group Pm-3m (No. 221)
Symmetry-distinct sites (fractional):
Mn: 0.000 0.000 0.000 x1
Al: 0.500 0.500 0.500 x1
Os: 0.000 0.000 0.500 x3

**Raw total energy**: -39.019 eV/cell
**Calculated formation energy**: 1516 meV per atom
**ΔE to the lowest computed polymorph**: 0 kJ/mol of formula units

Repeat the eleventh record exactly.
Entry from the Alexandria database: crystalline Sc2CrC2 at its relaxed geometry (PBE-GGA).

a = 10.264 Å, b = 4.703 Å, c = 6.242 Å
α = 90.00°, β = 116.65°, γ = 90.00°
Space group C2/m (No. 12)
Symmetry-distinct sites (fractional):
Sc: 0.027 0.000 0.265 x4
Sc: 0.178 0.500 0.111 x4
Cr: 0.140 0.500 0.623 x4
C: 0.006 0.500 0.277 x4
C: 0.181 0.000 0.106 x4

**Raw total energy**: -170.362 eV/cell
**Calculated formation energy**: -371 meV per atom
**ΔE to the lowest computed polymorph**: 0 kJ/mol of formula units

What is the raw total energy in the twelfth record?
-205.654 eV/cell